[1]
DyPaRh3 (PBE, relaxed); mass density = 11.61 Mg/m³; final energy = -40.0 eV per formula unit; space-group type = P2_1/m (11); formation energy = -762 meV per atom; total magnetic moment = 0.000 μB/cell; calculated volume = 200.9 Å³/cell
1.0
4.127 0.000 0.000
0.000 5.674 0.000
-2.053 0.000 8.577
Dy Pa Rh
2 2 6
Cartesian
0.001 1.419 3.179
2.073 4.256 5.398
0.007 1.419 7.075
2.067 4.256 1.503
0.000 0.000 0.000
0.000 2.837 0.000
0.012 4.256 3.330
0.010 4.256 7.380
2.064 1.419 1.197
2.062 1.419 5.247

[2]
Dy3PaRh3 (PBE, relaxed); mass density = 10.37 Mg/m³; final energy = -50.1 eV per formula unit; space-group type = Pnma (62); formation energy = -683 meV per atom; total magnetic moment = 0.000 μB/cell; calculated volume = 658.0 Å³/cell
1.0
11.997 0.000 0.000
0.000 4.094 0.000
0.000 0.000 13.396
Dy Pa Rh
12 4 12
Cartesian
0.613 1.024 1.306
2.244 3.071 6.860
2.994 1.024 4.009
3.004 3.071 10.707
3.754 1.024 0.162
5.386 3.071 8.004
6.611 1.024 5.392
8.243 3.071 13.234
8.993 1.024 2.689
9.003 3.071 9.387
9.753 1.024 6.536
11.384 3.071 12.090
0.379 1.024 9.170
5.619 3.071 2.472
6.378 1.024 10.924
11.618 3.071 4.226
0.558 1.024 5.703
1.273 1.024 11.705
2.902 3.071 2.031
3.097 1.024 8.729
4.725 3.071 5.007
5.441 3.071 12.401
6.556 1.024 0.995
7.272 1.024 8.389
8.900 3.071 4.667
9.095 1.024 11.365
10.724 3.071 1.691
11.439 3.071 7.693

[3]
DyPaRh2 (PBE, relaxed); mass density = 11.58 Mg/m³; final energy = -32.3 eV per formula unit; space-group type = P2_1/m (11); excess energy over the best structure of this formula in the dataset = 0 meV per atom; formation energy = -877 meV per atom; total magnetic moment = 0.000 μB/cell; calculated volume = 171.9 Å³/cell
1.0
5.933 0.000 0.000
0.000 4.028 0.000
-2.548 0.000 7.195
Dy Pa Rh
2 2 4
Cartesian
0.218 1.007 3.141
3.167 3.021 4.054
-1.069 1.007 6.681
4.454 3.021 0.514
1.269 3.021 1.303
0.041 3.021 5.265
3.344 1.007 1.930
2.116 1.007 5.891

[4]
DyPaRh4 (PBE, relaxed); mass density = 10.89 Mg/m³; final energy = -46.7 eV per formula unit; space-group type = Pmmm (47); excess energy over the best structure of this formula in the dataset = 256 meV per atom; formation energy = -538 meV per atom; total magnetic moment = 0.000 μB/cell; calculated volume = 122.8 Å³/cell
1.0
3.941 0.000 0.000
0.000 3.952 0.000
0.000 0.000 7.885
Dy Pa Rh
1 1 4
Cartesian
0.000 0.000 0.000
1.971 1.976 3.942
0.000 1.976 2.105
0.000 1.976 5.780
1.971 0.000 2.108
1.971 0.000 5.777